No. 1
A plane-wave DFT calculation with PBE-GGA was carried out for an optimized crystal structure of Y2TeCl2.

a = 4.384 Å, b = 4.384 Å, c = 13.570 Å
α = 90.00°, β = 90.00°, γ = 90.00°
Space group I4/mmm (No. 139)
Symmetry-distinct sites (fractional):
Y 0.000 0.000 0.120 (multiplicity 4)
Te 0.000 0.000 0.500 (multiplicity 2)
Cl 0.000 0.500 0.250 (multiplicity 4)

Formation energy from raw total energies   -1.444 eV/atom
DOS(E_F)   0.64 states/eV per atom


No. 2
A plane-wave DFT calculation with PBE-GGA was carried out for an optimized crystal structure of Zn2TeCl.

a = 6.044 Å, b = 6.044 Å, c = 12.936 Å
α = 90.00°, β = 90.00°, γ = 90.00°
Space group I-42d (No. 122)
Symmetry-distinct sites (fractional):
Zn 0.243 0.250 0.125 (multiplicity 8)
Te 0.000 0.000 0.500 (multiplicity 4)
Cl 0.000 0.000 0.000 (multiplicity 4)

Excess energy over the best structure of this formula in the dataset   0.076 eV/atom
Formation energy from raw total energies   -0.275 eV/atom
DOS(E_F)   0.36 states/eV per atom


No. 3
A plane-wave DFT calculation with PBE-GGA was carried out for an optimized crystal structure of ZnTeCl.

a = 3.330 Å, b = 8.934 Å, c = 8.326 Å
α = 90.00°, β = 90.00°, γ = 90.00°
Space group Imm2 (No. 44)
Symmetry-distinct sites (fractional):
Zn 0.000 0.000 0.000 (multiplicity 2)
Te 0.000 0.000 0.706 (multiplicity 2)
Cl 0.000 0.000 0.253 (multiplicity 2)

Formation energy from raw total energies   -0.282 eV/atom
DOS(E_F)   0.79 states/eV per atom


No. 4
A plane-wave DFT calculation with PBE-GGA was carried out for an optimized crystal structure of Zn2TeCl.

a = 3.957 Å, b = 6.851 Å, c = 7.379 Å
α = 90.00°, β = 90.00°, γ = 90.00°
Space group Immm (No. 71)
Symmetry-distinct sites (fractional):
Zn 0.000 0.000 0.245 (multiplicity 4)
Te 0.000 0.500 0.000 (multiplicity 2)
Cl 0.000 0.500 0.500 (multiplicity 2)

Excess energy over the best structure of this formula in the dataset   0.164 eV/atom
Formation energy from raw total energies   -0.187 eV/atom
DOS(E_F)   0.18 states/eV per atom


No. 5
A plane-wave DFT calculation with PBE-GGA was carried out for an optimized crystal structure of Zn2TeCl.

a = 5.554 Å, b = 3.565 Å, c = 5.603 Å
α = 90.00°, β = 95.78°, γ = 90.00°
Space group P2/m (No. 10)
Symmetry-distinct sites (fractional):
Zn 0.138 0.000 0.336 (multiplicity 2)
Te 0.500 0.500 0.500 (multiplicity 1)
Cl 0.000 0.500 0.000 (multiplicity 1)

Excess energy over the best structure of this formula in the dataset   0.149 eV/atom
Formation energy from raw total energies   -0.202 eV/atom
DOS(E_F)   0.36 states/eV per atom


No. 6
A plane-wave DFT calculation with PBE-GGA was carried out for an optimized crystal structure of ZnTeCl.

a = 6.739 Å, b = 6.739 Å, c = 6.739 Å
α = 90.00°, β = 90.00°, γ = 90.00°
Space group F-43m (No. 216)
Symmetry-distinct sites (fractional):
Zn 0.000 0.000 0.000 (multiplicity 4)
Te 0.250 0.250 0.750 (multiplicity 4)
Cl 0.250 0.250 0.250 (multiplicity 4)

Formation energy from raw total energies   -0.024 eV/atom
DOS(E_F)   1.54 states/eV per atom


No. 7
A plane-wave DFT calculation with PBE-GGA was carried out for an optimized crystal structure of ZnTe2Cl.

a = 5.847 Å, b = 14.087 Å, c = 2.949 Å
α = 90.00°, β = 90.00°, γ = 90.00°
Space group Cmmm (No. 65)
Symmetry-distinct sites (fractional):
Zn 0.000 0.000 0.000 (multiplicity 2)
Te 0.250 0.250 0.500 (multiplicity 4)
Cl 0.000 0.500 0.000 (multiplicity 2)

Excess energy over the best structure of this formula in the dataset   0.474 eV/atom
Formation energy from raw total energies   0.156 eV/atom
DOS(E_F)   0.80 states/eV per atom


No. 8
A plane-wave DFT calculation with PBE-GGA was carried out for an optimized crystal structure of ZnTeCl.

a = 6.874 Å, b = 6.874 Å, c = 6.874 Å
α = 90.00°, β = 90.00°, γ = 90.00°
Space group F-43m (No. 216)
Symmetry-distinct sites (fractional):
Zn 0.000 0.000 0.000 (multiplicity 4)
Te 0.250 0.250 0.250 (multiplicity 4)
Cl 0.000 0.000 0.500 (multiplicity 4)

Formation energy from raw total energies   0.065 eV/atom
DOS(E_F)   0.82 states/eV per atom


No. 9
A plane-wave DFT calculation with PBE-GGA was carried out for an optimized crystal structure of ZnTeCl4.

a = 8.462 Å, b = 8.462 Å, c = 8.462 Å
α = 90.00°, β = 90.00°, γ = 90.00°
Space group F-43m (No. 216)
Symmetry-distinct sites (fractional):
Zn 0.000 0.000 0.000 (multiplicity 4)
Te 0.250 0.250 0.250 (multiplicity 4)
Cl 0.125 0.125 0.625 (multiplicity 16)

Formation energy from raw total energies   0.651 eV/atom
DOS(E_F)   1.06 states/eV per atom


No. 10
A plane-wave DFT calculation with PBE-GGA was carried out for an optimized crystal structure of ZnTe2Cl.

a = 7.184 Å, b = 7.184 Å, c = 7.184 Å
α = 90.00°, β = 90.00°, γ = 90.00°
Space group Fm-3m (No. 225)
Symmetry-distinct sites (fractional):
Zn 0.000 0.000 0.000 (multiplicity 4)
Te 0.250 0.250 0.250 (multiplicity 8)
Cl 0.000 0.000 0.500 (multiplicity 4)

Excess energy over the best structure of this formula in the dataset   0.497 eV/atom
Formation energy from raw total energies   0.179 eV/atom
DOS(E_F)   0.66 states/eV per atom


No. 11
A plane-wave DFT calculation with PBE-GGA was carried out for an optimized crystal structure of ZnTe2Cl.

a = 3.4193 Å, b = 3.4193 Å, c = 30.7874 Å
α = 90.00°, β = 90.00°, γ = 120.00°
Space group R-3m (No. 166, hexagonal axes)
Symmetry-distinct sites (fractional):
Zn 0.0000 0.0000 0.0000 (multiplicity 3)
Te 0.0000 0.0000 0.0843 (multiplicity 6)
Cl 0.0000 0.0000 0.5000 (multiplicity 3)

Excess energy over the best structure of this formula in the dataset   0.424 eV/atom
Formation energy from raw total energies   0.106 eV/atom
DOS(E_F)   0.46 states/eV per atom


No. 12
A plane-wave DFT calculation with PBE-GGA was carried out for an optimized crystal structure of ZnTe2Cl.

a = 3.690 Å, b = 4.841 Å, c = 11.115 Å
α = 90.00°, β = 90.00°, γ = 90.00°
Space group Immm (No. 71)
Symmetry-distinct sites (fractional):
Zn 0.000 0.000 0.000 (multiplicity 2)
Te 0.000 0.500 0.300 (multiplicity 4)
Cl 0.000 0.000 0.500 (multiplicity 2)

Excess energy over the best structure of this formula in the dataset   0.233 eV/atom
Formation energy from raw total energies   -0.085 eV/atom
DOS(E_F)   0.44 states/eV per atom